No. 1
Compound: Tm5SnPb
Source: Alexandria via LeMat-Bulk
Functional: PBE
Structure: relaxed

Unit cell a=8.702 b=8.621 c=11.140 alpha=90.00 beta=103.95 gamma=90.00
Space group C2/c (No. 15)
Asymmetric unit:
Tm  0.000  0.129  0.250 [4 per cell]
Tm  0.119  0.360  0.533 [8 per cell]
Tm  0.206  0.210  0.836 [8 per cell]
Sn  0.000  0.483  0.250 [4 per cell]
Pb  0.000  0.000  0.000 [4 per cell]

Values from the calculation:
The calculation puts the total DFT energy (no corrections) at -126.04 eV per cell. The value obtained for the energy of formation is -0.206 eV/atom.



No. 2
Compound: Tb4Dy7Er2
Source: Alexandria via LeMat-Bulk
Functional: PBE
Structure: relaxed

Unit cell a=6.0451 b=6.0451 c=13.1264 alpha=90.00 beta=90.00 gamma=120.00
Space group P-31m (No. 162)
Asymmetric unit:
Tb  0.0000  0.0000  0.1075 [2 per cell]
Tb  0.3333  0.6667  0.0000 [2 per cell]
Dy  0.0000  0.0000  0.5000 [1 per cell]
Dy  0.0000  0.3592  0.7157 [6 per cell]
Er  0.3333  0.6667  0.5000 [2 per cell]

Values from the calculation:
The calculation puts the total DFT energy (no corrections) at -57.75 eV per cell. The value obtained for the energy of formation is 0.162 eV/atom.



No. 3
Compound: Tb5CeTm6
Source: Alexandria via LeMat-Bulk
Functional: PBE
Structure: relaxed

Unit cell a=4.994 b=9.901 c=14.981 alpha=90.00 beta=90.00 gamma=90.00
Space group Immm (No. 71)
Asymmetric unit:
Tb  0.000  0.000  0.000 [2 per cell]
Tb  0.000  0.000  0.333 [4 per cell]
Tb  0.000  0.500  0.333 [4 per cell]
Ce  0.000  0.500  0.000 [2 per cell]
Tm  0.000  0.248  0.500 [4 per cell]
Tm  0.000  0.251  0.166 [8 per cell]

Values from the calculation:
The calculation puts the total DFT energy (no corrections) at -110.94 eV per cell. The value obtained for the energy of formation is 0.037 eV/atom.



No. 4
Compound: Si2SbOs
Source: Alexandria via LeMat-Bulk
Functional: PBE
Structure: relaxed

Unit cell a=4.068 b=4.242 c=4.417 alpha=90.00 beta=99.45 gamma=90.00
Space group P2/m (No. 10)
Asymmetric unit:
Si  0.108  0.000  0.261 [2 per cell]
Sb  0.500  0.500  0.000 [1 per cell]
Os  0.000  0.500  0.500 [1 per cell]

Values from the calculation:
The calculation puts the total DFT energy (no corrections) at -24.79 eV per cell. The uncorrected formation energy comes out at 352 meV/atom.



No. 5
Compound: TbPr6Sm2Y3
Source: Alexandria via LeMat-Bulk
Functional: PBE
Structure: relaxed

Unit cell a=6.347 b=10.994 c=11.993 alpha=90.00 beta=100.13 gamma=90.00
Space group C2/m (No. 12)
Asymmetric unit:
Tb  0.000  0.000  0.000 [2 per cell]
Pr  0.249  0.000  0.749 [4 per cell]
Pr  0.250  0.166  0.251 [8 per cell]
Sm  0.000  0.333  0.000 [4 per cell]
Y  0.000  0.167  0.500 [4 per cell]
Y  0.000  0.500  0.500 [2 per cell]

Values from the calculation:
The calculation puts the total DFT energy (no corrections) at -124.07 eV per cell. The value obtained for the energy of formation is 0.009 eV/atom.



No. 6
Compound: RbAgPdS2
Source: Alexandria via LeMat-Bulk
Functional: PBE
Structure: relaxed

Unit cell a=6.215 b=14.292 c=5.491 alpha=90.00 beta=90.00 gamma=90.00
Space group Cmme (No. 67)
Asymmetric unit:
Rb  0.000  0.250  0.212 [4 per cell]
Ag  0.000  0.000  0.000 [4 per cell]
Pd  0.250  0.000  0.500 [4 per cell]
S  0.000  0.113  0.674 [8 per cell]

Values from the calculation:
The calculation puts the total DFT energy (no corrections) at -77.07 eV per cell. The uncorrected formation energy comes out at -400 meV/atom.



No. 7
Compound: Ce12Pt6Au
Source: Alexandria via LeMat-Bulk
Functional: PBE
Structure: relaxed

Unit cell a=12.4968 b=12.4968 c=12.3689 alpha=90.00 beta=90.00 gamma=120.00
Space group R-3 (No. 148, hexagonal axes)
Asymmetric unit:
Ce  0.0247  0.2112  0.3974 [18 per cell]
Ce  0.0688  0.2243  0.8776 [18 per cell]
Pt  0.0391  0.2678  0.6411 [18 per cell]
Au  0.0000  0.0000  0.0000 [3 per cell]

Values from the calculation:
The calculation puts the total DFT energy (no corrections) at -365.39 eV per cell. The value obtained for the energy of formation is -0.583 eV/atom.



No. 8
Compound: NaTb4PrSe8
Source: Alexandria via LeMat-Bulk
Functional: PBE
Structure: relaxed

Unit cell a=8.5029 b=8.5029 c=21.1900 alpha=90.00 beta=90.00 gamma=120.00
Space group R3m (No. 160, hexagonal axes)
Asymmetric unit:
Na  0.0000  0.0000  0.0000 [3 per cell]
Tb  0.0000  0.0000  0.2534 [3 per cell]
Tb  0.1730  0.3461  0.4590 [9 per cell]
Pr  0.0000  0.0000  0.6316 [3 per cell]
Se  0.0000  0.0000  0.3856 [3 per cell]
Se  0.0000  0.0000  0.8665 [3 per cell]
Se  0.0215  0.5107  0.3835 [9 per cell]
Se  0.1745  0.3490  0.2054 [9 per cell]

Values from the calculation:
The calculation puts the total DFT energy (no corrections) at -231.59 eV per cell. The uncorrected formation energy comes out at -1764 meV/atom.